No. 1
A relaxed Pm3Zn4Pb2 crystal. Source: Alexandria via LeMat-Bulk, functional PBE-GGA.

VASP energy ... -61.02 eV/cell

Cell lengths 11.3664, 4.6401, 8.8429 Å; angles 90.00, 110.50, 90.00 degrees
Space group C2/m (No. 12)
Unique sites:
1 Pm 0.0000 0.0000 0.0000 (multiplicity 2)
2 Pm 0.1683 0.5000 0.6696 (multiplicity 4)
3 Zn 0.0142 0.0000 0.3635 (multiplicity 4)
4 Zn 0.2485 0.0000 0.9362 (multiplicity 4)
5 Pb 0.1170 0.5000 0.2797 (multiplicity 4)

***

No. 2
A relaxed Ba2CeZrO6 crystal. Source: Alexandria via LeMat-Bulk, functional PBE-GGA.

E_form (uncorrected) ... -72.93 kcal/mol of atoms

Cell lengths 6.1790, 6.1790, 4.3545 Å; angles 90.00, 90.00, 90.00 degrees
Space group P4/mmm (No. 123)
Unique sites:
1 Ba 0.0000 0.5000 0.0000 (multiplicity 2)
2 Ce 0.0000 0.0000 0.5000 (multiplicity 1)
3 Zr 0.5000 0.5000 0.5000 (multiplicity 1)
4 O 0.0000 0.0000 0.0000 (multiplicity 1)
5 O 0.2575 0.2575 0.5000 (multiplicity 4)
6 O 0.5000 0.5000 0.0000 (multiplicity 1)

***

No. 3
A relaxed CoNiIr2 crystal. Source: Alexandria via LeMat-Bulk, functional PBE-GGA.

VASP energy ... -90.71 eV/cell

Cell lengths 2.6786, 2.6786, 25.2310 Å; angles 90.00, 90.00, 120.00 degrees
Space group R3m (No. 160, hexagonal axes)
Unique sites:
1 Co 0.0000 0.0000 0.0000 (multiplicity 3)
2 Ni 0.0000 0.0000 0.2560 (multiplicity 3)
3 Ir 0.0000 0.0000 0.5055 (multiplicity 3)
4 Ir 0.0000 0.0000 0.7492 (multiplicity 3)

***

No. 4
A relaxed Cs2Si2HgS6 crystal. Source: Alexandria via LeMat-Bulk, functional PBE-GGA.

E_form (uncorrected) ... -14.73 kcal/mol of atoms

Cell lengths 7.1317, 7.1317, 23.7864 Å; angles 90.00, 90.00, 120.00 degrees
Space group R-3m (No. 166, hexagonal axes)
Unique sites:
1 Cs 0.0000 0.0000 0.2174 (multiplicity 6)
2 Si 0.0000 0.0000 0.4079 (multiplicity 6)
3 Hg 0.0000 0.0000 0.0000 (multiplicity 3)
4 S 0.0016 0.5008 0.2531 (multiplicity 18)

***

No. 5
A relaxed SrZnOs2 crystal. Source: Alexandria via LeMat-Bulk, functional PBE-GGA.

VASP energy ... -21.95 eV/cell

Cell lengths 2.9466, 4.8679, 4.9396 Å; angles 90.00, 90.00, 90.00 degrees
Space group Pmmm (No. 47)
Unique sites:
1 Sr 0.0000 0.0000 0.0000 (multiplicity 1)
2 Zn 0.5000 0.5000 0.0000 (multiplicity 1)
3 Os 0.0000 0.5000 0.5000 (multiplicity 1)
4 Os 0.5000 0.0000 0.5000 (multiplicity 1)

***

No. 6
A relaxed CaInBrCl2 crystal. Source: Alexandria via LeMat-Bulk, functional PBE-GGA.

E_form (uncorrected) ... -37.36 kcal/mol of atoms

Cell lengths 5.3437, 5.3437, 5.7767 Å; angles 90.00, 90.00, 90.00 degrees
Space group P4/mmm (No. 123)
Unique sites:
1 Ca 0.0000 0.0000 0.0000 (multiplicity 1)
2 In 0.5000 0.5000 0.5000 (multiplicity 1)
3 Br 0.0000 0.0000 0.5000 (multiplicity 1)
4 Cl 0.0000 0.5000 0.0000 (multiplicity 2)

***

Please write out number 4 again, unchanged.
A relaxed Cs2Si2HgS6 crystal. Source: Alexandria via LeMat-Bulk, functional PBE-GGA.

E_form (uncorrected) ... -14.73 kcal/mol of atoms

Cell lengths 7.1317, 7.1317, 23.7864 Å; angles 90.00, 90.00, 120.00 degrees
Space group R-3m (No. 166, hexagonal axes)
Unique sites:
1 Cs 0.0000 0.0000 0.2174 (multiplicity 6)
2 Si 0.0000 0.0000 0.4079 (multiplicity 6)
3 Hg 0.0000 0.0000 0.0000 (multiplicity 3)
4 S 0.0016 0.5008 0.2531 (multiplicity 18)

***

What did the fifth record say?
A relaxed SrZnOs2 crystal. Source: Alexandria via LeMat-Bulk, functional PBE-GGA.

VASP energy ... -21.95 eV/cell

Cell lengths 2.9466, 4.8679, 4.9396 Å; angles 90.00, 90.00, 90.00 degrees
Space group Pmmm (No. 47)
Unique sites:
1 Sr 0.0000 0.0000 0.0000 (multiplicity 1)
2 Zn 0.5000 0.5000 0.0000 (multiplicity 1)
3 Os 0.0000 0.5000 0.5000 (multiplicity 1)
4 Os 0.5000 0.0000 0.5000 (multiplicity 1)